1.
Below is a relaxed Li3Ca2Pb crystal, with properties calculated at the GGA-PBE level.

Output
DFT formation energy   -0.233 eV/atom

Cell lengths 10.2043, 5.9425, 6.1719 Å; angles 90.00, 123.06, 90.00 degrees
Closest atoms and distances in Å follow each position.
Space group C2/m (No. 12)
Unique sites:
Li 0.0000 0.0000 0.0000 (multiplicity 2)  4 Li 2.95, 2 Pb 3.09
Li 0.2500 0.2500 0.0000 (multiplicity 4)  4 Li 2.95-2.97, 2 Pb 3.11
Ca 0.1249 0.5000 0.3737 (multiplicity 4)  3 Pb 3.46-3.48, 9 Li 3.52-3.67, 4 Ca 3.64-3.87
Pb 0.0000 0.0000 0.5000 (multiplicity 2)  6 Li 3.09-3.11

***

2.
Below is a relaxed LiCaPb2 crystal, with properties calculated at the GGA-PBE level.

Output
DFT formation energy   -0.297 eV/atom

Cell lengths 12.2939, 3.5231, 5.5580 Å; angles 90.00, 112.05, 90.00 degrees
Closest atoms and distances in Å follow each position.
Space group Cm (No. 8)
Unique sites:
Li 0.0000 0.0000 0.0000 (multiplicity 2)  7 Pb 3.27-3.38, 1 Ca 3.40, 2 Li 3.52
Ca 0.2384 0.0000 0.5666 (multiplicity 2)  7 Pb 3.28-3.40, 3 Li 3.40-3.67, 2 Ca 3.52
Pb 0.2442 0.5000 0.0697 (multiplicity 2)  4 Ca 3.28-3.30, 3 Li 3.31-3.38, 5 Pb 3.51-3.55
Pb 0.4916 0.0000 0.4972 (multiplicity 2)  4 Li 3.27-3.31, 3 Ca 3.28-3.40, 5 Pb 3.51-3.55

***

3.
Below is a relaxed LiCa6Pb5 crystal, with properties calculated at the GGA-PBE level.

Output
DFT formation energy   -0.501 eV/atom

Cell lengths 5.5661, 17.0120, 7.5962 Å; angles 90.00, 90.00, 90.00 degrees
Closest atoms and distances in Å follow each position.
Space group Cmmm (No. 65)
Unique sites:
Li 0.0000 0.0000 0.0000 (multiplicity 2)  8 Ca 3.40-3.45, 2 Pb 3.80
Ca 0.0000 0.1711 0.2449 (multiplicity 8)  7 Pb 3.36-3.52, 1 Li 3.45, 1 Ca 3.72
Ca 0.0000 0.5000 0.2560 (multiplicity 4)  6 Pb 3.25-3.35, 2 Li 3.40
Pb 0.0000 0.0000 0.5000 (multiplicity 2)  8 Ca 3.34-3.50
Pb 0.0000 0.3359 0.5000 (multiplicity 4)  8 Ca 3.35-3.41
Pb 0.0000 0.3470 0.0000 (multiplicity 4)  8 Ca 3.25-3.52

***

| no. | uncorrected energy (eV/atom) | density of states at the Fermi level (states/eV/cell) | volume (A^3/atom) |
| --- | --- | --- | --- |
| 1 | -2.48 | 8.4 | 26.1 |
| 2 | -3.13 | 5.3 | 27.9 |
| 3 | -3.21 | 9.4 | 30.0 |